Record 1
Material: Be2Br
Method: DFT, PBE
State: optimized geometry

**Spin magnetization**: 0.0 μB/cell
**Energy above the lowest structure with this stoichiometry**: 296 kJ/mol of formula units

Cell: 5.0210 5.0210 5.0210 Å, 60.00 60.00 60.00°
Fractional coordinates of all 6 atoms:
Be (0.0000, 0.0000, 0.0000)
Be (0.0000, 0.0000, 0.5000)
Be (0.0000, 0.5000, 0.0000)
Be (0.5000, 0.0000, 0.0000)
Br (0.3750, 0.3750, 0.3750)
Br (0.6250, 0.6250, 0.6250)

Record 2
Material: BeBr2
Method: DFT, PBE
State: optimized geometry

**Spin magnetization**: 0.0 μB/cell
**Energy above the lowest structure with this stoichiometry**: 180 kJ/mol of formula units

Cell: 6.1933 6.1933 6.1933 Å, 90.00 90.00 90.00°
Fractional coordinates of all 12 atoms:
Be (0.0000, 0.0000, 0.0000)
Be (0.0000, 0.5000, 0.5000)
Be (0.5000, 0.0000, 0.5000)
Be (0.5000, 0.5000, 0.0000)
Br (0.1543, 0.6543, 0.8457)
Br (0.1543, 0.8457, 0.3457)
Br (0.3457, 0.1543, 0.8457)
Br (0.3457, 0.3457, 0.3457)
Br (0.6543, 0.6543, 0.6543)
Br (0.6543, 0.8457, 0.1543)
Br (0.8457, 0.1543, 0.6543)
Br (0.8457, 0.3457, 0.1543)

Q: What is the formula in the first record?
A: Be2Br

Q: Number 1 is which compound?
A: Be2Br

Please write out number 1 again, unchanged.
Material: Be2Br
Method: DFT, PBE
State: optimized geometry

**Spin magnetization**: 0.0 μB/cell
**Energy above the lowest structure with this stoichiometry**: 296 kJ/mol of formula units

Cell: 5.0210 5.0210 5.0210 Å, 60.00 60.00 60.00°
Fractional coordinates of all 6 atoms:
Be (0.0000, 0.0000, 0.0000)
Be (0.0000, 0.0000, 0.5000)
Be (0.0000, 0.5000, 0.0000)
Be (0.5000, 0.0000, 0.0000)
Br (0.3750, 0.3750, 0.3750)
Br (0.6250, 0.6250, 0.6250)